! CrFeO4 (PBE+U, optimized geometry); values from VASP
! size of the total moment	5.98	μB per formula unit
! VASP energy	-40.6	eV/f.u.
&SYSTEM
  ibrav = 0, nat = 12, ntyp = 3
/
ATOMIC_SPECIES
Cr 52.00 Cr.upf
Fe 55.84 Fe.upf
O 16.00 O.upf
ATOMIC_POSITIONS crystal
Cr 0.1452 0.8548 0.7500
Cr 0.8548 0.1452 0.2500
Fe 0.5000 0.5000 0.0000
Fe 0.5000 0.5000 0.5000
O 0.2361 0.2877 0.2500
O 0.2692 0.7308 0.5404
O 0.2692 0.7308 0.9596
O 0.2877 0.2361 0.7500
O 0.7123 0.7639 0.2500
O 0.7308 0.2692 0.0404
O 0.7308 0.2692 0.4596
O 0.7639 0.7123 0.7500
CELL_PARAMETERS angstrom
2.8060 -4.2455 0.0000
2.8060 4.2455 0.0000
0.0000 0.0000 6.2819